i.
This record from the Alexandria database describes an optimized crystal structure of Be3SiNi. The functional is PBE-GGA.

abc: 3.9558 3.9558 3.9558
angles: 90.00 90.00 90.00
Closest atoms and distances in Å follow each position.
Atoms (fractional coordinates):
1 Ni 0.0000 0.0000 0.0000  6 Be 1.98
2 Si 0.5000 0.5000 0.5000  12 Be 2.80
3 Be 0.0000 0.5000 0.0000  2 Ni 1.98
4 Be 0.0000 0.0000 0.5000  2 Ni 1.98
5 Be 0.5000 0.0000 0.0000  2 Ni 1.98

Output
Theoretical density = 3.1 g/cm3
Magnetic moment = 0.0 μB per cell
V = 61.9 Å³/cell

---

ii.
This record from the Alexandria database describes an optimized crystal structure of Be3SiNi. The functional is PBE-GGA.

abc: 4.4531 7.3307 5.4415
angles: 132.35 114.15 90.00
Closest atoms and distances in Å follow each position.
Atoms (fractional coordinates):
1 Be 0.5398 0.1714 0.8427  4 Be 2.20-2.30, 2 Si 2.32, 2 Ni 2.36
2 Be 0.1971 0.8287 0.1573  4 Be 2.20-2.30, 2 Si 2.32, 2 Ni 2.36
3 Be 0.0398 0.1713 0.8427  4 Be 2.20-2.30, 2 Si 2.32, 2 Ni 2.36
4 Be 0.8682 0.5000 0.5000  4 Be 2.20-2.23, 2 Ni 2.22-2.23, 2 Si 2.28
5 Be 0.6971 0.8286 0.1573  4 Be 2.20-2.30, 2 Si 2.32, 2 Ni 2.36
6 Be 0.3682 0.5000 0.5000  4 Be 2.20-2.23, 2 Ni 2.22-2.23, 2 Si 2.28
7 Si 0.1183 0.2285 0.5000  2 Ni 2.23, 6 Be 2.28-2.32
8 Si 0.6183 0.7715 0.5000  2 Ni 2.23, 6 Be 2.28-2.32
9 Ni 0.1183 0.7628 0.5000  6 Be 2.22-2.36, 2 Si 2.23
10 Ni 0.6183 0.2372 0.5000  6 Be 2.22-2.36, 2 Si 2.23

Output
Theoretical density = 3.5 g/cm3
Magnetic moment = 0.0 μB per cell
V = 109.3 Å³/cell

---

Decreasing stability: ii, i

---

i.
This record from the Alexandria database describes an optimized crystal structure of BeSiNi3. The functional is PBE-GGA.

abc: 4.1333 4.1333 4.1333
angles: 90.00 90.00 90.00
Closest atoms and distances in Å follow each position.
Atoms (fractional coordinates):
1 Ni 0.0000 0.5000 0.0000  2 Si 2.07
2 Ni 0.0000 0.0000 0.5000  2 Si 2.07
3 Ni 0.5000 0.0000 0.0000  2 Si 2.07
4 Si 0.0000 0.0000 0.0000  6 Ni 2.07
5 Be 0.5000 0.5000 0.5000  12 Ni 2.92

Output
Theoretical density = 5.0 g/cm3
Magnetic moment = 0.0 μB per cell
V = 70.6 Å³/cell

---

ii.
This record from the Alexandria database describes an optimized crystal structure of BeSiNi3. The functional is PBE-GGA.

abc: 3.8330 5.7127 5.7127
angles: 120.00 90.00 90.00
Closest atoms and distances in Å follow each position.
Atoms (fractional coordinates):
1 Be 0.0000 0.0000 0.0000  2 Be 1.92, 6 Ni 2.12
2 Be 0.5000 0.0000 0.0000  2 Be 1.92, 6 Ni 2.12
3 Si 0.2500 0.3335 0.6665  6 Ni 2.38
4 Si 0.7500 0.6665 0.3335  6 Ni 2.38
5 Ni 0.2500 0.8091 0.1909  2 Be 2.12
6 Ni 0.7500 0.1909 0.8091  2 Be 2.12
7 Ni 0.2500 0.8090 0.6183  2 Be 2.12
8 Ni 0.7500 0.1910 0.3817  2 Be 2.12
9 Ni 0.2500 0.3817 0.1910  2 Be 2.12
10 Ni 0.7500 0.6183 0.8090  2 Be 2.12

Output
Theoretical density = 6.5 g/cm3
Magnetic moment = 0.0 μB per cell
V = 108.3 Å³/cell

---

Decreasing stability: ii, i

---

i.
This record from the Alexandria database describes an optimized crystal structure of BeSiNi5. The functional is PBE-GGA.

abc: 3.7979 3.7979 5.4162
angles: 90.00 90.00 90.00
Closest atoms and distances in Å follow each position.
Atoms (fractional coordinates):
1 Be 0.0000 0.0000 0.5000  8 Ni 2.37
2 Si 0.5000 0.5000 0.0000  8 Ni 2.30
3 Ni 0.0000 0.5000 0.7609  2 Si 2.30, 2 Be 2.37, 2 Ni 2.37
4 Ni 0.0000 0.5000 0.2391  2 Si 2.30, 2 Be 2.37, 2 Ni 2.37
5 Ni 0.5000 0.0000 0.7609  2 Si 2.30, 2 Ni 2.37, 2 Be 2.37
6 Ni 0.5000 0.0000 0.2391  2 Si 2.30, 2 Ni 2.37, 2 Be 2.37
7 Ni 0.5000 0.5000 0.5000  8 Ni 2.37

Output
Theoretical density = 7.0 g/cm3
Magnetic moment = 0.0 μB per cell
V = 78.1 Å³/cell

---

ii.
This record from the Alexandria database describes an optimized crystal structure of BeSiNi5. The functional is PBE-GGA.

abc: 4.7392 4.7392 9.2078
angles: 62.76 62.76 65.91
Closest atoms and distances in Å follow each position.
Atoms (fractional coordinates):
1 Be 0.0000 0.0000 0.0000  6 Ni 2.24-2.39
2 Be 0.0000 0.0000 0.5000  6 Ni 2.24-2.39
3 Si 0.6587 0.3413 0.2500  7 Ni 2.20-2.41
4 Si 0.3413 0.6587 0.7500  7 Ni 2.20-2.41
5 Ni 0.5942 0.8714 0.2510  1 Be 2.24, 4 Ni 2.34-2.47, 2 Si 2.36-2.41
6 Ni 0.2711 0.4572 0.4883  1 Si 2.25, 5 Ni 2.35-2.48, 1 Be 2.39
7 Ni 0.8714 0.5942 0.7510  1 Be 2.24, 4 Ni 2.34-2.47, 2 Si 2.36-2.41
8 Ni 0.0862 0.9138 0.2500  1 Si 2.20, 4 Ni 2.34-2.42, 2 Be 2.34
9 Ni 0.5428 0.7289 0.0117  1 Si 2.25, 5 Ni 2.35-2.48, 1 Be 2.39
10 Ni 0.4572 0.2711 0.9883  1 Si 2.25, 5 Ni 2.35-2.48, 1 Be 2.39
11 Ni 0.9138 0.0862 0.7500  1 Si 2.20, 4 Ni 2.34-2.42, 2 Be 2.34
12 Ni 0.1286 0.4058 0.2490  1 Be 2.24, 4 Ni 2.34-2.47, 2 Si 2.36-2.41
13 Ni 0.7289 0.5428 0.5117  1 Si 2.25, 5 Ni 2.35-2.48, 1 Be 2.39
14 Ni 0.4058 0.1286 0.7490  1 Be 2.24, 4 Ni 2.34-2.47, 2 Si 2.36-2.41

Output
Theoretical density = 6.9 g/cm3
Magnetic moment = 0.0 μB per cell
V = 158.2 Å³/cell

---

Decreasing stability: i, ii

---

i.
This record from the Alexandria database describes an optimized crystal structure of Be2Ni2Sn. The functional is PBE-GGA.

abc: 3.1922 3.1922 6.4250
angles: 75.62 75.62 90.00
Closest atoms and distances in Å follow each position.
Atoms (fractional coordinates):
1 Ni 0.3862 0.3862 0.2277  4 Be 2.29
2 Ni 0.6138 0.6138 0.7723  4 Be 2.29
3 Sn 0.0000 0.0000 0.0000  8 Ni 2.64
4 Be 0.7500 0.2500 0.5000  4 Be 2.26, 4 Ni 2.29
5 Be 0.2500 0.7500 0.5000  4 Be 2.26, 4 Ni 2.29

Output
Theoretical density = 6.9 g/cm3
Magnetic moment = 0.0 μB per cell
V = 61.3 Å³/cell

---

ii.
This record from the Alexandria database describes an optimized crystal structure of Be2Ni2Sn. The functional is PBE-GGA.

abc: 6.3543 6.3543 2.8812
angles: 90.00 90.00 90.00
Closest atoms and distances in Å follow each position.
Atoms (fractional coordinates):
1 Ni 0.1580 0.6580 0.5000  6 Be 2.29-2.47
2 Ni 0.6580 0.8420 0.5000  6 Be 2.29-2.47
3 Ni 0.8420 0.3420 0.5000  6 Be 2.29-2.47
4 Ni 0.3420 0.1580 0.5000  6 Be 2.29-2.47
5 Sn 0.0000 0.0000 0.0000  4 Be 2.54, 8 Ni 2.79
6 Sn 0.5000 0.5000 0.0000  4 Be 2.54, 8 Ni 2.79
7 Be 0.3810 0.8810 0.0000  1 Be 2.14, 4 Ni 2.29
8 Be 0.8810 0.6190 0.0000  1 Be 2.14, 4 Ni 2.29
9 Be 0.6190 0.1190 0.0000  1 Be 2.14, 4 Ni 2.29
10 Be 0.1190 0.3810 0.0000  1 Be 2.14, 4 Ni 2.29

Output
Theoretical density = 7.3 g/cm3
Magnetic moment = 0.0 μB per cell
V = 116.3 Å³/cell

---

Decreasing stability: ii, i